Material: Rb2Nb
Method: DFT, PBE
State: relaxed

Values from the calculation:
* polymorph energy (0 for the lowest one): 0.290 eV/atom
* space group: No. 227

```
Rb2Nb
1.0
5.644 3.259 9.217
-5.644 3.259 9.217
0.000 -6.518 9.217
Rb Nb
4 2
Cartesian
-2.822 1.629 14.978
0.000 0.000 10.370
2.822 1.629 14.978
0.000 -3.259 14.978
0.000 0.000 6.913
0.000 0.000 13.826
```



Material: RbNb
Method: DFT, PBE
State: relaxed

Values from the calculation:
* polymorph energy (0 for the lowest one): 1.182 eV/atom
* space group: No. 194

```
RbNb
1.0
5.356 0.000 0.000
-2.678 4.638 0.000
0.000 0.000 8.249
Rb Nb
2 2
Cartesian
0.000 0.000 0.000
0.000 0.000 4.124
2.678 1.546 6.186
0.000 3.092 2.062
```



Material: RbNb
Method: DFT, PBE
State: relaxed

Values from the calculation:
* polymorph energy (0 for the lowest one): 0.025 eV/atom
* space group: No. 187

```
RbNb
1.0
3.086 0.000 0.000
-1.543 2.673 0.000
0.000 0.000 6.766
Rb Nb
1 1
Cartesian
0.000 1.782 1.691
1.543 0.891 5.074
```



Material: Rb2Nb
Method: DFT, PBE
State: relaxed

Values from the calculation:
* polymorph energy (0 for the lowest one): 0.171 eV/atom
* space group: No. 227

```
Rb2Nb
1.0
0.000 5.236 5.236
5.236 0.000 5.236
5.236 5.236 0.000
Rb Nb
4 2
Cartesian
6.545 6.545 6.545
3.927 6.545 3.927
3.927 3.927 6.545
6.545 3.927 3.927
2.618 2.618 2.618
0.000 0.000 0.000
```



Material: RbNb
Method: DFT, PBE
State: relaxed

Values from the calculation:
* polymorph energy (0 for the lowest one): 1.393 eV/atom
* space group: No. 216

```
RbNb
1.0
-5.063 -1.551 -2.563
-4.935 2.968 1.202
-2.412 3.475 -4.088
Rb Nb
1 1
Cartesian
-3.102 1.223 -1.362
0.000 0.000 0.000
```



Material: Rb2NbS3
Method: DFT, PBE
State: relaxed

Values from the calculation:
* space group: No. 2

```
Rb2NbS3
1.0
7.118 0.000 0.000
3.084 6.969 0.000
3.146 1.106 7.955
Rb S Nb
4 6 2
Cartesian
11.690 6.556 6.809
5.092 4.292 2.435
8.256 3.782 5.520
1.659 1.519 1.146
6.374 7.198 3.856
8.130 6.760 7.200
5.219 1.315 0.755
8.729 4.714 2.222
4.619 3.360 5.732
6.974 0.877 4.098
4.949 1.117 5.333
8.399 6.957 2.621
```



Number 1: DFT total energy -12.539 eV per cell. Number 2: DFT total energy -11.317 eV per cell. Number 3: DFT total energy -7.972 eV per cell. Number 4: DFT total energy -13.256 eV per cell. Number 5: DFT total energy -5.236 eV per cell. Number 6: DFT total energy -63.300 eV per cell.